1.
Sm3Y3Tm4 | GGA-PBE | relaxed

abc: 3.6605 9.3877 9.3877
angles: 89.83 90.00 90.00
Atoms (fractional coordinates):
1 Sm 0.0000 0.0000 0.0000
2 Sm 0.0000 0.4996 0.8470
3 Sm 0.0000 0.8470 0.4996
4 Y 0.0000 0.3471 0.3471
5 Y 0.5000 0.1746 0.6699
6 Y 0.5000 0.6699 0.1746
7 Tm 0.5000 0.0495 0.2982
8 Tm 0.5000 0.2982 0.0495
9 Tm 0.5000 0.5489 0.5489
10 Tm 0.5000 0.7982 0.7982

Computed properties:
**DFT total energy**: -5.066 eV/atom
**SG**: Amm2 (38)
**Total magnetic moment**: 0.0 μB per cell

***

2.
Sm4Y8Tm3 | GGA-PBE | relaxed

abc: 12.4509 12.4509 12.4509
angles: 32.48 32.48 32.48
Atoms (fractional coordinates):
1 Sm 0.0000 0.0000 0.0000
2 Sm 0.1639 0.1639 0.1639
3 Sm 0.5000 0.5000 0.5000
4 Sm 0.8361 0.8361 0.8361
5 Y 0.2500 0.2500 0.7474
6 Y 0.2500 0.7474 0.2500
7 Y 0.2526 0.7500 0.7500
8 Y 0.2555 0.2555 0.2555
9 Y 0.7445 0.7445 0.7445
10 Y 0.7474 0.2500 0.2500
11 Y 0.7500 0.2526 0.7500
12 Y 0.7500 0.7500 0.2526
13 Tm 0.0000 0.5000 0.5000
14 Tm 0.5000 0.0000 0.5000
15 Tm 0.5000 0.5000 0.0000

Computed properties:
**DFT total energy**: -5.466 eV/atom
**SG**: R-3m (166)
**Relative energy among the computed polymorphs**: 0.0000 eV/atom
**Total magnetic moment**: 0.0 μB per cell

***

3.
Sm8Y3Tm | GGA-PBE | relaxed

abc: 8.4480 8.4480 8.4480
angles: 117.58 117.58 94.24
Atoms (fractional coordinates):
1 Sm 0.1206 0.1206 0.7492
2 Sm 0.2354 0.2354 0.4906
3 Sm 0.2552 0.7646 0.0000
4 Sm 0.3713 0.3713 0.2508
5 Sm 0.6287 0.8794 0.0000
6 Sm 0.7448 0.7448 0.5094
7 Sm 0.7646 0.2552 0.0000
8 Sm 0.8794 0.6287 0.0000
9 Y 0.2500 0.7500 0.5000
10 Y 0.5000 0.5000 0.0000
11 Y 0.7500 0.2500 0.5000
12 Tm 0.0000 0.0000 0.0000

Computed properties:
**DFT total energy**: -4.522 eV/atom
**SG**: I-42m (121)
**Total magnetic moment**: 0.0 μB per cell

***

4.
Sm4Y6Tm19 | GGA-PBE | relaxed

abc: 10.7202 10.7202 10.7202
angles: 109.47 109.47 109.47
Atoms (fractional coordinates):
1 Sm 0.0000 0.0000 0.3589
2 Sm 0.0000 0.3589 0.0000
3 Sm 0.3589 0.0000 0.0000
4 Sm 0.6411 0.6411 0.6411
5 Y 0.1310 0.5000 0.6310
6 Y 0.3690 0.8690 0.5000
7 Y 0.5000 0.3690 0.8690
8 Y 0.5000 0.6310 0.1310
9 Y 0.6310 0.1310 0.5000
10 Y 0.8690 0.5000 0.3690
11 Tm 0.0000 0.0000 0.0000
12 Tm 0.0000 0.2612 0.2612
13 Tm 0.0000 0.7388 0.7388
14 Tm 0.0158 0.2106 0.6770
15 Tm 0.1948 0.9842 0.6612
16 Tm 0.2106 0.6770 0.0158
17 Tm 0.2612 0.0000 0.2612
18 Tm 0.2612 0.2612 0.0000
19 Tm 0.3230 0.5336 0.3388
20 Tm 0.3388 0.3230 0.5336
21 Tm 0.4664 0.7894 0.8052
22 Tm 0.5336 0.3388 0.3230
23 Tm 0.6612 0.1948 0.9842
24 Tm 0.6770 0.0158 0.2106
25 Tm 0.7388 0.0000 0.7388
26 Tm 0.7388 0.7388 0.0000
27 Tm 0.7894 0.8052 0.4664
28 Tm 0.8052 0.4664 0.7894
29 Tm 0.9842 0.6612 0.1948

Computed properties:
**DFT total energy**: -4.524 eV/atom
**SG**: I23 (197)
**Total magnetic moment**: 2.3 μB per cell

***

5.
Sm4Y2Tm | GGA-PBE | relaxed

abc: 11.3466 11.3466 12.0963
angles: 90.00 90.00 161.99
Atoms (fractional coordinates):
1 Sm 0.0000 0.0000 0.0000
2 Sm 0.0000 0.0000 0.5000
3 Sm 0.2464 0.7536 0.6202
4 Sm 0.2464 0.7536 0.8798
5 Sm 0.4598 0.5402 0.2500
6 Sm 0.5402 0.4598 0.7500
7 Sm 0.7536 0.2464 0.1202
8 Sm 0.7536 0.2464 0.3798
9 Y 0.3741 0.6259 0.0071
10 Y 0.3741 0.6259 0.4929
11 Y 0.6259 0.3741 0.5071
12 Y 0.6259 0.3741 0.9929
13 Tm 0.1129 0.8871 0.2500
14 Tm 0.8871 0.1129 0.7500

Computed properties:
**DFT total energy**: -4.965 eV/atom
**SG**: Cmcm (63)
**Relative energy among the computed polymorphs**: 0.0940 eV/atom
**Total magnetic moment**: 0.0 μB per cell

***

6.
SmY6Tm3 | GGA-PBE | relaxed

abc: 10.9223 10.9223 6.2343
angles: 90.00 90.00 119.85
Atoms (fractional coordinates):
1 Sm 0.2067 0.7933 0.5000
2 Sm 0.7933 0.2067 0.0000
3 Y 0.0426 0.4596 0.3002
4 Y 0.0478 0.9522 0.7525
5 Y 0.2839 0.7161 0.0072
6 Y 0.2908 0.3802 0.1248
7 Y 0.3802 0.2908 0.6248
8 Y 0.4596 0.0426 0.8002
9 Y 0.5404 0.9574 0.3002
10 Y 0.6198 0.7092 0.1248
11 Y 0.7092 0.6198 0.6248
12 Y 0.7161 0.2839 0.5072
13 Y 0.9522 0.0478 0.2525
14 Y 0.9574 0.5404 0.8002
15 Tm 0.0640 0.2824 0.7077
16 Tm 0.2824 0.0640 0.2077
17 Tm 0.3889 0.6111 0.5820
18 Tm 0.6111 0.3889 0.0820
19 Tm 0.7176 0.9360 0.7077
20 Tm 0.9360 0.7176 0.2077

Computed properties:
**DFT total energy**: -5.546 eV/atom
**SG**: Cmc2_1 (36)
**Relative energy among the computed polymorphs**: 0.0277 eV/atom
**Total magnetic moment**: 0.0 μB per cell

***

7.
Sm8YTm4 | GGA-PBE | relaxed

abc: 10.3254 10.3254 10.3254
angles: 41.05 41.05 41.05
Atoms (fractional coordinates):
1 Sm 0.2040 0.7519 0.7519
2 Sm 0.2135 0.2135 0.2135
3 Sm 0.2481 0.2481 0.7960
4 Sm 0.2481 0.7960 0.2481
5 Sm 0.7519 0.2040 0.7519
6 Sm 0.7519 0.7519 0.2040
7 Sm 0.7865 0.7865 0.7865
8 Sm 0.7960 0.2481 0.2481
9 Y 0.5000 0.5000 0.5000
10 Tm 0.0000 0.0000 0.0000
11 Tm 0.0000 0.5000 0.5000
12 Tm 0.5000 0.0000 0.5000
13 Tm 0.5000 0.5000 0.0000

Computed properties:
**DFT total energy**: -4.569 eV/atom
**SG**: R-3m (166)
**Total magnetic moment**: 0.0 μB per cell

***

8.
Sm2YTm3 | GGA-PBE | relaxed

abc: 9.0223 9.0223 14.0976
angles: 116.80 116.80 22.29
Atoms (fractional coordinates):
1 Sm 0.1571 0.1571 0.4690
2 Sm 0.3194 0.3194 0.1176
3 Sm 0.6806 0.6806 0.8824
4 Sm 0.8429 0.8429 0.5310
5 Y 0.0624 0.0624 0.6434
6 Y 0.9376 0.9376 0.3566
7 Tm 0.0982 0.0982 0.0255
8 Tm 0.2371 0.2371 0.2914
9 Tm 0.4606 0.4606 0.7909
10 Tm 0.5394 0.5394 0.2091
11 Tm 0.7629 0.7629 0.7086
12 Tm 0.9018 0.9018 0.9745

Computed properties:
**DFT total energy**: -4.767 eV/atom
**SG**: C2/m (12)
**Relative energy among the computed polymorphs**: 0.0000 eV/atom
**Total magnetic moment**: 0.0 μB per cell

***

9.
Sm8YTm6 | GGA-PBE | relaxed

abc: 8.1993 8.1993 8.1993
angles: 72.58 72.58 72.58
Atoms (fractional coordinates):
1 Sm 0.0861 0.0861 0.0861
2 Sm 0.1406 0.2741 0.5686
3 Sm 0.2741 0.5686 0.1406
4 Sm 0.4314 0.8594 0.7259
5 Sm 0.5686 0.1406 0.2741
6 Sm 0.7259 0.4314 0.8594
7 Sm 0.8594 0.7259 0.4314
8 Sm 0.9139 0.9139 0.9139
9 Y 0.5000 0.5000 0.5000
10 Tm 0.1067 0.5711 0.7859
11 Tm 0.2141 0.8933 0.4289
12 Tm 0.4289 0.2141 0.8933
13 Tm 0.5711 0.7859 0.1067
14 Tm 0.7859 0.1067 0.5711
15 Tm 0.8933 0.4289 0.2141

Computed properties:
**DFT total energy**: -4.551 eV/atom
**SG**: R-3 (148)
**Relative energy among the computed polymorphs**: 0.0026 eV/atom
**Total magnetic moment**: 0.0 μB per cell

***

10.
Sm4YTm15 | GGA-PBE | relaxed

abc: 4.9797 4.9797 24.8520
angles: 90.00 90.00 90.00
Atoms (fractional coordinates):
1 Sm 0.0000 0.0000 0.1001
2 Sm 0.0000 0.0000 0.2999
3 Sm 0.0000 0.0000 0.7001
4 Sm 0.0000 0.0000 0.8999
5 Y 0.0000 0.0000 0.5000
6 Tm 0.0000 0.5000 0.0000
7 Tm 0.0000 0.5000 0.2001
8 Tm 0.0000 0.5000 0.4003
9 Tm 0.0000 0.5000 0.5997
10 Tm 0.0000 0.5000 0.7999
11 Tm 0.5000 0.0000 0.0000
12 Tm 0.5000 0.0000 0.2001
13 Tm 0.5000 0.0000 0.4003
14 Tm 0.5000 0.0000 0.5997
15 Tm 0.5000 0.0000 0.7999
16 Tm 0.5000 0.5000 0.1000
17 Tm 0.5000 0.5000 0.3003
18 Tm 0.5000 0.5000 0.5000
19 Tm 0.5000 0.5000 0.6997
20 Tm 0.5000 0.5000 0.9000

Computed properties:
**DFT total energy**: -4.594 eV/atom
**SG**: P4/mmm (123)
**Total magnetic moment**: 0.0 μB per cell

***

11.
Sm2Y7Tm2 | GGA-PBE | relaxed

abc: 6.5303 6.5303 8.6757
angles: 98.31 98.31 93.17
Atoms (fractional coordinates):
1 Sm 0.1778 0.8222 0.0000
2 Sm 0.8222 0.1778 0.0000
3 Y 0.0519 0.4177 0.7048
4 Y 0.3481 0.3481 0.0926
5 Y 0.4177 0.0519 0.7048
6 Y 0.5000 0.5000 0.5000
7 Y 0.5823 0.9481 0.2952
8 Y 0.6519 0.6519 0.9074
9 Y 0.9481 0.5823 0.2952
10 Tm 0.1046 0.1046 0.3540
11 Tm 0.8954 0.8954 0.6460

Computed properties:
**DFT total energy**: -5.678 eV/atom
**SG**: C2/m (12)
**Relative energy among the computed polymorphs**: 0.0000 eV/atom
**Total magnetic moment**: 0.0 μB per cell

***

12.
Sm4Y3Tm | GGA-PBE | relaxed

abc: 11.9172 11.9172 6.7672
angles: 106.30 106.30 16.84
Atoms (fractional coordinates):
1 Sm 0.1237 0.1237 0.3686
2 Sm 0.2599 0.2599 0.7611
3 Sm 0.7401 0.7401 0.2389
4 Sm 0.8763 0.8763 0.6314
5 Y 0.0000 0.0000 0.5000
6 Y 0.1231 0.1231 0.8824
7 Y 0.8769 0.8769 0.1176
8 Tm 0.5000 0.5000 0.0000

Computed properties:
**DFT total energy**: -5.176 eV/atom
**SG**: C2/m (12)
**Relative energy among the computed polymorphs**: 0.1489 eV/atom
**Total magnetic moment**: 0.0 μB per cell

***

Among the records above, which one has the lowest DFT total energy? Sm2Y7Tm2

***

The highest total magnetic moment belongs to which entry? Sm4Y6Tm19